Th2CdRuAu: relaxed, PBE.

a b c (Å): 7.802 4.162 8.646
angles (deg): 90.00 114.00 90.00
Fractional coordinates of all 10 atoms:
Th (0.064, 0.250, 0.307)
Th (0.327, 0.750, 0.105)
Th (0.673, 0.250, 0.895)
Th (0.936, 0.750, 0.693)
Cd (0.410, 0.750, 0.566)
Cd (0.590, 0.250, 0.434)
Ru (0.094, 0.250, 0.941)
Ru (0.906, 0.750, 0.059)
Au (0.248, 0.250, 0.709)
Au (0.752, 0.750, 0.291)

- total energy (eV/atom) = -6.0663
- ΔE_f (meV/atom) = -405

Ac3GaCu2Pd9: relaxed, PBE.

a b c (Å): 7.442 7.442 6.742
angles (deg): 90.00 90.00 120.00
Fractional coordinates of all 15 atoms:
Ac (0.000, 0.000, 0.000)
Ac (0.333, 0.667, 0.671)
Ac (0.667, 0.333, 0.329)
Ga (0.000, 0.000, 0.500)
Cu (0.333, 0.667, 0.166)
Cu (0.667, 0.333, 0.834)
Pd (0.000, 0.500, 0.000)
Pd (0.166, 0.332, 0.333)
Pd (0.166, 0.834, 0.333)
Pd (0.332, 0.166, 0.667)
Pd (0.500, 0.000, 0.000)
Pd (0.500, 0.500, 0.000)
Pd (0.668, 0.834, 0.333)
Pd (0.834, 0.166, 0.667)
Pd (0.834, 0.668, 0.667)

- total energy (eV/atom) = -5.1282
- ΔE_f (meV/atom) = -443

Th4TcOs: relaxed, PBE.

a b c (Å): 8.588 8.588 6.938
angles (deg): 108.13 108.13 119.78
Fractional coordinates of all 12 atoms:
Th (0.033, 0.447, 0.239)
Th (0.203, 0.302, 0.747)
Th (0.302, 0.203, 0.247)
Th (0.447, 0.033, 0.739)
Th (0.553, 0.967, 0.261)
Th (0.698, 0.797, 0.753)
Th (0.797, 0.698, 0.253)
Th (0.967, 0.553, 0.761)
Tc (0.095, 0.905, 0.750)
Tc (0.905, 0.095, 0.250)
Os (0.409, 0.591, 0.250)
Os (0.591, 0.409, 0.750)

- total energy (eV/atom) = -8.6752
- ΔE_f (meV/atom) = -129
- energy above the most stable polymorph in this dataset (kJ/mol of atoms) = 7.7

> Which of these has the highest ΔE_f?

Th4TcOs

> The highest total energy belongs to which entry?

Ac3GaCu2Pd9

What did the third record say?
Th4TcOs: relaxed, PBE.

a b c (Å): 8.588 8.588 6.938
angles (deg): 108.13 108.13 119.78
Fractional coordinates of all 12 atoms:
Th (0.033, 0.447, 0.239)
Th (0.203, 0.302, 0.747)
Th (0.302, 0.203, 0.247)
Th (0.447, 0.033, 0.739)
Th (0.553, 0.967, 0.261)
Th (0.698, 0.797, 0.753)
Th (0.797, 0.698, 0.253)
Th (0.967, 0.553, 0.761)
Tc (0.095, 0.905, 0.750)
Tc (0.905, 0.095, 0.250)
Os (0.409, 0.591, 0.250)
Os (0.591, 0.409, 0.750)

- total energy (eV/atom) = -8.6752
- ΔE_f (meV/atom) = -129
- energy above the most stable polymorph in this dataset (kJ/mol of atoms) = 7.7

Copy entry 1 word for word.
Th2CdRuAu: relaxed, PBE.

a b c (Å): 7.802 4.162 8.646
angles (deg): 90.00 114.00 90.00
Fractional coordinates of all 10 atoms:
Th (0.064, 0.250, 0.307)
Th (0.327, 0.750, 0.105)
Th (0.673, 0.250, 0.895)
Th (0.936, 0.750, 0.693)
Cd (0.410, 0.750, 0.566)
Cd (0.590, 0.250, 0.434)
Ru (0.094, 0.250, 0.941)
Ru (0.906, 0.750, 0.059)
Au (0.248, 0.250, 0.709)
Au (0.752, 0.750, 0.291)

- total energy (eV/atom) = -6.0663
- ΔE_f (meV/atom) = -405